Record 1
Entry from Alexandria via LeMat-Bulk: an optimized crystal structure of BaCu2SnHg (PBE).

Output
Space group: P4/mmm (123)
Total DFT energy (no corrections) (Ha/atom): -0.099

```
data_BaCu2SnHg
_chemical_formula_sum 'Ba1 Cu2 Sn1 Hg1'
_symmetry_space_group_name_H-M 'P 1'
_symmetry_Int_Tables_number 1
_cell_length_a 5.085
_cell_length_b 5.529
_cell_length_c 5.085
_cell_angle_alpha 90.00
_cell_angle_beta 90.00
_cell_angle_gamma 90.00
loop_
_symmetry_equiv_pos_as_xyz
'x,y,z'
loop_
_atom_site_label
_atom_site_fract_x
_atom_site_fract_y
_atom_site_fract_z
_atom_site_occupancy
Hg1 0.000 0.000 0.000 1
Cu1 0.000 0.000 0.500 1
Sn1 0.000 0.500 0.000 1
Cu2 0.500 0.000 0.000 1
Ba1 0.500 0.500 0.500 1
```

---

Record 2
Entry from Alexandria via LeMat-Bulk: an optimized crystal structure of Ba2SrCuHg (PBE).

Output
Space group: P4/mmm (123)
Total DFT energy (no corrections) (Ha/atom): -0.074

```
data_Ba2SrCuHg
_chemical_formula_sum 'Ba2 Sr1 Cu1 Hg1'
_symmetry_space_group_name_H-M 'P 1'
_symmetry_Int_Tables_number 1
_cell_length_a 6.197
_cell_length_b 6.197
_cell_length_c 5.974
_cell_angle_alpha 90.00
_cell_angle_beta 90.00
_cell_angle_gamma 90.00
loop_
_symmetry_equiv_pos_as_xyz
'x,y,z'
loop_
_atom_site_label
_atom_site_fract_x
_atom_site_fract_y
_atom_site_fract_z
_atom_site_occupancy
Cu1 0.000 0.000 0.000 1
Ba1 0.000 0.500 0.000 1
Hg1 0.500 0.500 0.500 1
Ba2 0.500 0.000 0.000 1
Sr1 0.000 0.000 0.500 1
```

---

Record 3
Entry from Alexandria via LeMat-Bulk: an optimized crystal structure of Ba2TlCuHg (PBE).

Output
Space group: P4/mmm (123)
Total DFT energy (no corrections) (Ha/atom): -0.084

```
data_Ba2TlCuHg
_chemical_formula_sum 'Ba2 Tl1 Cu1 Hg1'
_symmetry_space_group_name_H-M 'P 1'
_symmetry_Int_Tables_number 1
_cell_length_a 6.244
_cell_length_b 6.244
_cell_length_c 4.959
_cell_angle_alpha 90.00
_cell_angle_beta 90.00
_cell_angle_gamma 90.00
loop_
_symmetry_equiv_pos_as_xyz
'x,y,z'
loop_
_atom_site_label
_atom_site_fract_x
_atom_site_fract_y
_atom_site_fract_z
_atom_site_occupancy
Cu1 0.000 0.000 0.000 1
Tl1 0.000 0.000 0.500 1
Hg1 0.500 0.500 0.500 1
Ba1 0.500 0.000 0.000 1
Ba2 0.000 0.500 0.000 1
```

---

Record 4
Entry from Alexandria via LeMat-Bulk: an optimized crystal structure of BaTlCuHg2 (PBE).

Output
Space group: P4/mmm (123)
Total DFT energy (no corrections) (Ha/atom): -0.072

```
data_BaTlCuHg2
_chemical_formula_sum 'Ba1 Tl1 Cu1 Hg2'
_symmetry_space_group_name_H-M 'P 1'
_symmetry_Int_Tables_number 1
_cell_length_a 5.249
_cell_length_b 5.249
_cell_length_c 5.288
_cell_angle_alpha 90.00
_cell_angle_beta 90.00
_cell_angle_gamma 90.00
loop_
_symmetry_equiv_pos_as_xyz
'x,y,z'
loop_
_atom_site_label
_atom_site_fract_x
_atom_site_fract_y
_atom_site_fract_z
_atom_site_occupancy
Cu1 0.000 0.000 0.000 1
Tl1 0.000 0.000 0.500 1
Hg1 0.000 0.500 0.000 1
Hg2 0.500 0.000 0.000 1
Ba1 0.500 0.500 0.500 1
```

---

Among the records above, which one has the lowest total DFT energy (no corrections)?
BaCu2SnHg

---

Copy entry 2 word for word.
Entry from Alexandria via LeMat-Bulk: an optimized crystal structure of Ba2SrCuHg (PBE).

Output
Space group: P4/mmm (123)
Total DFT energy (no corrections) (Ha/atom): -0.074

```
data_Ba2SrCuHg
_chemical_formula_sum 'Ba2 Sr1 Cu1 Hg1'
_symmetry_space_group_name_H-M 'P 1'
_symmetry_Int_Tables_number 1
_cell_length_a 6.197
_cell_length_b 6.197
_cell_length_c 5.974
_cell_angle_alpha 90.00
_cell_angle_beta 90.00
_cell_angle_gamma 90.00
loop_
_symmetry_equiv_pos_as_xyz
'x,y,z'
loop_
_atom_site_label
_atom_site_fract_x
_atom_site_fract_y
_atom_site_fract_z
_atom_site_occupancy
Cu1 0.000 0.000 0.000 1
Ba1 0.000 0.500 0.000 1
Hg1 0.500 0.500 0.500 1
Ba2 0.500 0.000 0.000 1
Sr1 0.000 0.000 0.500 1
```